(1)
## NiS3Br (PBE)

Data for an optimized crystal structure of NiS3Br.

a = 3.490 Å, b = 8.617 Å, c = 9.880 Å
α = 70.62°, β = 83.09°, γ = 86.55°
Space group P-1 (No. 2)
One atom of each set of equivalent atoms:
Ni 0.128 0.243 0.189 [2 per cell]
S 0.040 0.814 0.387 [2 per cell]
S 0.291 0.140 0.764 [2 per cell]
S 0.333 0.874 0.875 [2 per cell]
Br 0.416 0.593 0.763 [2 per cell]

Results
ΔE to the lowest computed polymorph, meV per atom: 0
Crystal system: triclinic

---

(2)
## Zr2ZnTc (PBE)

Data for an optimized crystal structure of Zr2ZnTc.

a = 3.1766 Å, b = 3.1766 Å, c = 26.6857 Å
α = 90.00°, β = 90.00°, γ = 120.00°
Space group R3m (No. 160, hexagonal axes)
One atom of each set of equivalent atoms:
Zr 0.0000 0.0000 0.0000 [3 per cell]
Zr 0.0000 0.0000 0.2320 [3 per cell]
Zn 0.0000 0.0000 0.4792 [3 per cell]
Tc 0.0000 0.0000 0.7403 [3 per cell]

Results
Crystal system: trigonal
Energy of formation, eV/f.u.: 0.45

---

(3)
## GdPaF2 (PBE)

Data for an optimized crystal structure of GdPaF2.

a = 3.3532 Å, b = 3.3532 Å, c = 21.7485 Å
α = 90.00°, β = 90.00°, γ = 120.00°
Space group R-3m (No. 166, hexagonal axes)
One atom of each set of equivalent atoms:
Gd 0.0000 0.0000 0.0000 [3 per cell]
Pa 0.0000 0.0000 0.5000 [3 per cell]
F 0.0000 0.0000 0.2487 [6 per cell]

Results
Crystal system: trigonal

---

(4)
## CePd14Pb (PBE)

Data for an optimized crystal structure of CePd14Pb.

a = 5.794 Å, b = 5.794 Å, c = 7.859 Å
α = 90.00°, β = 90.00°, γ = 90.00°
Space group P4/mmm (No. 123)
One atom of each set of equivalent atoms:
Ce 0.000 0.000 0.000 [1 per cell]
Pd 0.000 0.000 0.500 [1 per cell]
Pd 0.000 0.500 0.000 [2 per cell]
Pd 0.000 0.500 0.500 [2 per cell]
Pd 0.249 0.249 0.257 [8 per cell]
Pd 0.500 0.500 0.500 [1 per cell]
Pb 0.500 0.500 0.000 [1 per cell]

Results
Crystal system: tetragonal
Energy of formation, eV/f.u.: -4.36

---

(5)
## TmZr2Sc12 (PBE)

Data for an optimized crystal structure of TmZr2Sc12.

a = 5.816 Å, b = 5.816 Å, c = 22.971 Å
α = 90.00°, β = 90.00°, γ = 90.00°
Space group P4/nbm (No. 125, origin choice 2)
One atom of each set of equivalent atoms:
Tm 0.250 0.750 0.000 [2 per cell]
Zr 0.250 0.750 0.280 [4 per cell]
Sc 0.067 0.567 0.122 [8 per cell]
Sc 0.081 0.581 0.439 [8 per cell]
Sc 0.250 0.250 0.221 [4 per cell]
Sc 0.250 0.250 0.341 [4 per cell]

Results
Crystal system: tetragonal
Energy of formation, eV/f.u.: 5.23

---

(6)
## La2ScPa (PBE)

Data for an optimized crystal structure of La2ScPa.

a = 3.3115 Å, b = 3.3115 Å, c = 36.9626 Å
α = 90.00°, β = 90.00°, γ = 120.00°
Space group R-3m (No. 166, hexagonal axes)
One atom of each set of equivalent atoms:
La 0.0000 0.0000 0.0858 [6 per cell]
Sc 0.0000 0.0000 0.5000 [3 per cell]
Pa 0.0000 0.0000 0.0000 [3 per cell]

Results
ΔE to the lowest computed polymorph, meV per atom: 126
Crystal system: trigonal
Energy of formation, eV/f.u.: 1.21

---

(7)
## SrYRu (PBE)

Data for an optimized crystal structure of SrYRu.

a = 4.8243 Å, b = 4.8243 Å, c = 3.9495 Å
α = 90.00°, β = 90.00°, γ = 120.00°
Space group P3m1 (No. 156)
One atom of each set of equivalent atoms:
Sr 0.0000 0.0000 0.0000 [1 per cell]
Y 0.6667 0.3333 0.4670 [1 per cell]
Ru 0.3333 0.6667 0.6262 [1 per cell]

Results
ΔE to the lowest computed polymorph, meV per atom: 258
Crystal system: trigonal
Energy of formation, eV/f.u.: 0.83

---

(8)
## La6HoTe8 (PBE)

Data for an optimized crystal structure of La6HoTe8.

a = 12.896 Å, b = 12.896 Å, c = 12.896 Å
α = 90.00°, β = 90.00°, γ = 90.00°
Space group Fm-3m (No. 225)
One atom of each set of equivalent atoms:
La 0.000 0.250 0.250 [24 per cell]
Ho 0.000 0.000 0.000 [4 per cell]
Te 0.000 0.000 0.244 [24 per cell]
Te 0.250 0.250 0.250 [8 per cell]

Results
Crystal system: cubic

---

(9)
## Ce3YTh3 (PBE)

Data for an optimized crystal structure of Ce3YTh3.

a = 8.7595 Å, b = 8.7595 Å, c = 19.7981 Å
α = 90.00°, β = 90.00°, γ = 120.00°
Space group R-3 (No. 148, hexagonal axes)
One atom of each set of equivalent atoms:
Ce 0.0296 0.2366 0.2868 [18 per cell]
Y 0.0000 0.0000 0.4217 [6 per cell]
Th 0.0402 0.2448 0.1237 [18 per cell]

Results
Crystal system: trigonal
Energy of formation, eV/f.u.: 1.97

---

(10)
## Tl2CrRu (PBE)

Data for an optimized crystal structure of Tl2CrRu.

a = 6.814 Å, b = 6.814 Å, c = 6.814 Å
α = 90.00°, β = 90.00°, γ = 90.00°
Space group F-43m (No. 216)
One atom of each set of equivalent atoms:
Tl 0.000 0.000 0.000 [4 per cell]
Tl 0.250 0.250 0.250 [4 per cell]
Cr 0.000 0.000 0.500 [4 per cell]
Ru 0.250 0.250 0.750 [4 per cell]

Results
ΔE to the lowest computed polymorph, meV per atom: 425
Crystal system: cubic
Energy of formation, eV/f.u.: 3.31

---

Ordered raw total energy results: -3.9491 -7.0709 -8.6368 -5.4186 -6.1542 -6.1185 -5.5307 -5.5233 -6.3650 -5.0813; unit eV per atom.